Arrangement P

RhC3N: relaxed, GGA-PBE.

Geometry as POSCAR:
```
RhC3N
1.0
-2.0756 1.5462 -2.9398
-0.9522 -3.5981 -1.2201
-3.1822 0.0681 2.2826
C Rh N
3 1 1
Direct
0.0000 0.5000 0.0000
0.0000 0.0000 0.5000
0.5000 0.0000 0.0000
0.0000 0.0000 0.0000
0.5000 0.5000 0.5000
```

Output
- space-group type = Pm-3m, No. 221

Arrangement Q

RhC3N: relaxed, GGA-PBE.

Geometry as POSCAR:
```
RhC3N
1.0
3.4469 0.0000 0.0000
0.0000 3.4469 0.0000
0.0000 0.0000 3.4469
C Rh N
3 1 1
Direct
0.0000 0.5000 0.0000
0.0000 0.0000 0.5000
0.5000 0.0000 0.0000
0.5000 0.5000 0.5000
0.0000 0.0000 0.0000
```

Output
- space-group type = Pm-3m, No. 221

Short version: arrangement Q is the most stable of them.

Arrangement P

RhCSN2: relaxed, GGA-PBE.

Geometry as POSCAR:
```
RhCSN2
1.0
3.6965 0.0000 0.0000
0.0000 3.6965 0.0000
0.0000 0.0000 5.2938
S Rh C N
1 1 1 2
Direct
0.0000 0.0000 0.5000
0.0000 0.0000 0.0000
0.5000 0.5000 0.5000
0.0000 0.5000 0.0000
0.5000 0.0000 0.0000
```

Output
- space-group type = P4/mmm, No. 123

Arrangement Q

RhCSN2: relaxed, GGA-PBE.

Geometry as POSCAR:
```
RhCSN2
1.0
-1.6982 -2.0269 2.3155
2.9420 -0.2938 1.9005
-0.9680 3.0641 1.9722
S Rh C N
1 1 1 2
Direct
0.0000 0.0000 0.5000
0.5000 0.5000 0.5000
0.0000 0.0000 0.0000
0.0000 0.5000 0.0000
0.5000 0.0000 0.0000
```

Output
- space-group type = P4/mmm, No. 123

Short version: arrangement Q is the most stable of them.

Arrangement P

RuC3N: relaxed, GGA-PBE.

Geometry as POSCAR:
```
RuC3N
1.0
3.4281 0.0000 0.0000
0.0000 3.4281 0.0000
0.0000 0.0000 3.4281
Ru C N
1 3 1
Direct
0.5000 0.5000 0.5000
0.0000 0.5000 0.0000
0.0000 0.0000 0.5000
0.5000 0.0000 0.0000
0.0000 0.0000 0.0000
```

Output
- space-group type = Pm-3m, No. 221

Arrangement Q

RuC3N: relaxed, GGA-PBE.

Geometry as POSCAR:
```
RuC3N
1.0
3.9633 0.0000 0.0000
0.0000 3.9633 0.0000
0.0000 0.0000 3.9633
Ru C N
1 3 1
Direct
0.0000 0.0000 0.0000
0.0000 0.5000 0.0000
0.0000 0.0000 0.5000
0.5000 0.0000 0.0000
0.5000 0.5000 0.5000
```

Output
- space-group type = Pm-3m, No. 221

Short version: arrangement Q is the most stable of them.

Arrangement P

Ru2CN: relaxed, GGA-PBE.

Geometry as POSCAR:
```
Ru2CN
1.0
-2.0217 0.6633 4.1193
1.6481 -4.0783 1.4655
3.4743 0.3014 4.2658
Ru C N
4 2 2
Direct
0.6254 0.1250 0.2500
0.1246 0.6250 0.2500
0.3750 0.3746 0.7500
0.8750 0.8754 0.7500
0.5000 0.5000 0.0000
0.2500 0.7500 0.5000
0.0000 0.0000 0.0000
0.7500 0.2500 0.5000
```

Output
- space-group type = I-42d, No. 122

Arrangement Q

Ru2CN: relaxed, GGA-PBE.

Geometry as POSCAR:
```
Ru2CN
1.0
-1.0716 -3.1180 -1.8652
-3.6337 -1.0699 0.0296
-2.0881 0.2987 -3.1464
Ru C N
2 1 1
Direct
0.2500 0.2500 0.2500
0.7500 0.7500 0.7500
0.0000 0.0000 0.0000
0.5000 0.5000 0.5000
```

Output
- space-group type = Fm-3m, No. 225

Short version: arrangement P is the most stable of them.